1.
First-principles (PBE-GGA) data for a relaxed structure of KNaPr2Br8, as listed in Alexandria.

```
KNaPr2Br8
1.0
7.1303 0.0000 0.0000
0.0000 9.0633 0.0000
-0.5652 0.0000 7.3351
K Na Pr Br
1 1 2 8
direct
0.0000 0.0000 0.0000
0.0000 0.5000 0.0000
0.5000 0.2540 0.5000
0.5000 0.7460 0.5000
0.2406 0.2690 0.1820
0.2406 0.7310 0.1820
0.2867 0.5000 0.6566
0.2905 0.0000 0.6466
0.7095 0.0000 0.3534
0.7133 0.5000 0.3434
0.7594 0.2690 0.8180
0.7594 0.7310 0.8180
```

=====

2.
First-principles (PBE-GGA) data for a relaxed structure of KNa2PrBr6, as listed in Alexandria.

```
KNa2PrBr6
1.0
3.8441 2.2194 6.9886
-3.8441 2.2194 6.9886
0.0000 -4.4387 6.9886
K Na Pr Br
1 2 1 6
direct
0.0000 0.0000 0.0000
0.1992 0.1992 0.1992
0.7099 0.7099 0.7099
0.5142 0.5142 0.5142
0.1210 0.4311 0.7843
0.3406 0.9165 0.5621
0.4311 0.7843 0.1210
0.5621 0.3406 0.9165
0.7843 0.1210 0.4311
0.9165 0.5621 0.3406
```

=====

3.
First-principles (PBE-GGA) data for a relaxed structure of K2NaPtBr6, as listed in Alexandria.

```
K2NaPtBr6
1.0
3.7103 2.1422 14.0285
-3.7103 2.1422 14.0285
0.0000 -4.2843 14.0285
K Na Pt Br
4 2 2 12
direct
0.1363 0.1363 0.1363
0.3069 0.3069 0.3069
0.6931 0.6931 0.6931
0.8637 0.8637 0.8637
0.4172 0.4172 0.4172
0.5828 0.5828 0.5828
0.0000 0.0000 0.0000
0.5000 0.5000 0.5000
0.1343 0.6301 0.6301
0.1991 0.1991 0.7084
0.1991 0.7084 0.1991
0.2916 0.8009 0.8009
0.3699 0.3699 0.8657
0.3699 0.8657 0.3699
0.6301 0.1343 0.6301
0.6301 0.6301 0.1343
0.7084 0.1991 0.1991
0.8009 0.2916 0.8009
0.8009 0.8009 0.2916
0.8657 0.3699 0.3699
```

=====

4.
First-principles (PBE-GGA) data for a relaxed structure of K2NaPuBr8, as listed in Alexandria.

```
K2NaPuBr8
1.0
6.8895 0.0000 0.0000
0.2234 7.3756 0.0000
0.0306 0.0166 9.1325
K Na Pu Br
2 1 1 8
direct
0.0021 0.4991 0.2532
0.9979 0.5009 0.7468
0.5000 0.0000 0.5000
0.5000 0.0000 0.0000
0.2602 0.8822 0.2219
0.2622 0.8797 0.7795
0.2960 0.3260 0.9982
0.3274 0.3743 0.5008
0.6726 0.6257 0.4992
0.7040 0.6740 0.0018
0.7378 0.1203 0.2205
0.7398 0.1178 0.7781
```

=====

| no. | raw formation energy (eV/atom) | size of the total moment (μB per cell) |
| --- | --- | --- |
| 1 | -1.782 | 0.00 |
| 2 | -1.728 | 0.00 |
| 3 | -1.049 | 0.00 |
| 4 | -1.327 | 4.63 |